An optimized crystal structure of KHf3Nb, computed with PBEsol.

* energy: -0.2781 Ha/atom
* crystal system: cubic
* space group: Pm-3m, No. 221
* energy of formation from the pure elements: 1125 meV per atom
* volume: 139.93 Å³ per cell

Cell: 5.1916 5.1916 5.1916 Å, 90.00 90.00 90.00°
Sites, in units of the cell vectors:
K1 0.0000 0.0000 0.0000
Hf1 0.0000 0.5000 0.5000
Hf2 0.5000 0.0000 0.5000
Hf3 0.5000 0.5000 0.0000
Nb1 0.5000 0.5000 0.5000